## Li5In2AgHg2 (PBE)

Data for a geometry-optimized Li5In2AgHg2 structure.

The density of states at the Fermi level is 2.323 states/eV/f.u. For the formation enthalpy at 0 K, the calculation gives -0.2273 eV per atom.

The structure belongs to space group P4/mbm (No. 127); the cell edges are 10.9255, 10.9255 and 3.3111 Å and the angles 90.00°, 90.00° and 90.00°. The asymmetric unit holds Li at (0.0000, 0.5000, 0.0000), Li at (0.0283, 0.1932, 0.0000), In at (0.1680, 0.6680, 0.5000), Ag at (0.0000, 0.0000, 0.5000) and Hg at (0.1399, 0.3601, 0.5000).